Record 1
6
Lattice="3.170 0.000 -0.001 0.000 3.163 0.000 -0.047 0.000 9.603" Properties=species:S:1:pos:R:3 comment="ReNiHg (PBE-GGA, relaxed)" dft_energy_ev_per_atom=-5.918 polymorph_energy_kj_per_mol_fu=1 formation_energy_ev_per_atom=0.2596 pbc="T T T"
Re 2.354 2.372 4.140
Re 0.769 0.791 5.463
Hg 2.352 2.372 1.144
Hg 0.770 0.791 8.458
Ni 2.359 2.372 6.851
Ni 0.764 0.791 2.752



Record 2
4
Lattice="-5.112 1.323 -1.458 -2.755 -3.175 -3.513 -4.219 -3.017 1.764" Properties=species:S:1:pos:R:3 comment="AcCeMgGa (PBE-GGA, relaxed)" dft_energy_ev_per_atom=-3.838 formation_energy_ev_per_atom=-0.1716 pbc="T T T"
Ce -9.064 -3.652 -2.406
Ac -3.021 -1.217 -0.802
Ga 0.000 0.000 0.000
Mg -6.043 -2.434 -1.604



Record 3
5
Lattice="4.925 0.000 0.000 0.000 4.304 0.000 0.000 0.000 4.925" Properties=species:S:1:pos:R:3 comment="Bi2OsBrN (PBE-GGA, relaxed)" dft_energy_ev_per_atom=-4.430 raw_formation_energy_ev_per_atom=1.37 pbc="T T T"
Bi 2.462 0.000 0.000
Bi 0.000 0.000 2.462
Os 2.462 2.152 2.462
N 0.000 0.000 0.000
Br 0.000 2.152 0.000



Record 4
4
Lattice="5.639 -0.021 -0.064 -2.791 5.484 -0.005 0.057 1.045 3.181" Properties=species:S:1:pos:R:3 comment="LiPPb2 (PBE-GGA, relaxed)" dft_energy_ev_per_atom=-3.564 formation_energy_ev_per_atom=0.1213 pbc="T T T"
P 1.424 2.732 -0.034
Li -1.367 3.265 1.588
Pb 2.848 0.512 1.558
Pb 0.000 0.000 0.000



Record 5
13
Lattice="-1.117 5.534 2.480 -5.081 4.182 -4.152 -5.894 -0.219 5.022" Properties=species:S:1:pos:R:3 comment="TlCd10Hg2 (PBE-GGA, relaxed)" dft_energy_ev_per_atom=-0.892 formation_energy_ev_per_atom=0.0406 pbc="T T T"
Cd -5.593 1.351 1.790
Cd -5.815 6.010 -1.000
Cd -6.277 3.488 4.350
Cd -6.498 8.147 1.560
Cd -4.606 5.003 1.936
Cd -9.379 7.066 2.453
Cd -3.505 2.658 3.751
Cd -7.485 4.495 1.414
Cd -2.713 2.432 0.897
Cd -2.947 -0.109 2.511
Tl 0.000 0.000 0.000
Hg -2.541 2.091 -2.076
Hg -3.099 4.858 -0.836



Record 6
5
Lattice="-3.898 -1.784 3.380 -2.176 -2.933 -4.058 3.202 -4.325 1.409" Properties=species:S:1:pos:R:3 comment="GeTe2IN (PBE-GGA, relaxed)" dft_energy_ev_per_atom=-2.493 polymorph_energy_kj_per_mol_fu=452 raw_formation_energy_ev_per_atom=1.66 pbc="T T T"
I 1.601 -2.162 0.705
Te -1.088 -1.467 -2.029
Te -1.949 -0.892 1.690
Ge 0.000 0.000 0.000
N -1.436 -4.521 0.366